La2Al3ZnPd4 | PBE-GGA | relaxed

The structure in POSCAR format:
```
La2Al3ZnPd4
1.0
4.4127 0.0000 0.0000
0.0000 4.4127 0.0000
0.0000 0.0000 10.2263
Pd Zn La Al
4 1 2 3
Direct
0.0000 0.5000 0.3676
0.5000 0.0000 0.6324
0.5000 0.5000 0.0000
0.0000 0.0000 0.0000
0.5000 0.5000 0.5000
0.0000 0.5000 0.7498
0.5000 0.0000 0.2502
0.0000 0.0000 0.5000
0.5000 0.0000 0.8787
0.0000 0.5000 0.1213
```

Properties
- E: -0.37688 Ry/atom
- Space-group type: P-4m2 (115)


La2Al4ZnPd3 | PBE-GGA | relaxed

The structure in POSCAR format:
```
La2Al4ZnPd3
1.0
-0.6245 3.3601 2.7195
-4.2579 -0.9523 0.1988
1.7948 -6.3110 8.2099
Zn Pd La Al
1 3 2 4
Direct
0.5000 0.5000 0.5000
0.5000 0.0000 0.8716
0.0000 0.0000 0.5000
0.0000 0.5000 0.1284
0.0000 0.5000 0.7484
0.5000 0.0000 0.2516
0.0000 0.5000 0.3696
0.5000 0.5000 0.0000
0.5000 0.0000 0.6304
0.0000 0.0000 0.0000
```

Properties
- E: -0.36189 Ry/atom
- Space-group type: P-4m2 (115)


LaAlZnPd | PBE-GGA | relaxed

The structure in POSCAR format:
```
LaAlZnPd
1.0
4.8684 0.0000 0.0000
2.4342 4.2162 0.0000
2.4342 1.4054 3.9750
Pd Zn La Al
1 1 1 1
Direct
0.0000 0.0000 0.0000
0.5000 0.5000 0.5000
0.2500 0.2500 0.2500
0.7500 0.7500 0.7500
```

Properties
- Space-group type: F-43m (216)
- Relative energy among the computed polymorphs: 52 meV/atom


La2Al3Zn4Pd | PBE-GGA | relaxed

The structure in POSCAR format:
```
La2Al3Zn4Pd
1.0
4.3872 0.0000 0.0000
0.0000 4.3872 0.0000
0.0000 0.0000 10.4647
Pd Al La Zn
1 3 2 4
Direct
0.5000 0.5000 0.5000
0.5000 0.0000 0.8691
0.0000 0.5000 0.1309
0.0000 0.0000 0.5000
0.5000 0.0000 0.2515
0.0000 0.5000 0.7485
0.0000 0.5000 0.3705
0.5000 0.0000 0.6295
0.5000 0.5000 0.0000
0.0000 0.0000 0.0000
```

Properties
- E: -0.26401 Ry/atom
- Space-group type: P-4m2 (115)


LaAlZn2Pd | PBE-GGA | relaxed

The structure in POSCAR format:
```
LaAlZn2Pd
1.0
4.1115 0.0000 0.0000
0.0000 4.3373 0.0000
-2.0558 -2.1686 5.6231
Zn Al Pd La
2 1 1 1
Direct
0.0554 0.0554 0.1109
0.6945 0.1945 0.3890
0.1935 0.6935 0.3871
0.8254 0.8254 0.6508
0.4433 0.4433 0.8865
```

Properties
- E: -0.28178 Ry/atom
- Space-group type: Imm2 (44)


La2AlZnPd6 | PBE-GGA | relaxed

The structure in POSCAR format:
```
La2AlZnPd6
1.0
-1.0987 1.2584 -5.5303
4.2200 -6.5126 -2.3221
-1.1934 -6.7520 -4.3170
Pd Al La Zn
6 1 2 1
Direct
0.7581 0.7496 0.9894
0.2530 0.7497 0.9898
0.7470 0.2503 0.0102
0.2419 0.2504 0.0106
0.7474 0.7545 0.5047
0.2526 0.2455 0.4953
0.5000 0.5000 0.0000
0.7244 0.2774 0.5517
0.2756 0.7226 0.4483
0.0000 0.0000 0.0000
```

Properties
- E: -0.38606 Ry/atom
- Space-group type: C2/m (12)


LaAlZn2Pd2 | PBE-GGA | relaxed

The structure in POSCAR format:
```
LaAlZn2Pd2
1.0
4.6320 0.0000 0.0000
0.0000 4.6320 0.0000
0.0000 0.0000 5.8547
Zn Al Pd La
2 1 2 1
Direct
0.5000 0.5000 0.2554
0.5000 0.5000 0.7446
0.0000 0.0000 0.0000
0.5000 0.0000 0.0000
0.0000 0.5000 0.0000
0.0000 0.0000 0.5000
```

Properties
- E: -0.29097 Ry/atom
- Space-group type: P4/mmm (123)


La4Pm5Al | PBE-GGA | relaxed

The structure in POSCAR format:
```
La4Pm5Al
1.0
5.9253 0.0000 0.0000
2.9626 7.7004 0.0000
2.9626 0.0000 7.7004
La Al Pm
4 1 5
Direct
0.4557 0.3067 0.6934
0.7625 0.6934 0.6933
0.4559 0.6933 0.3066
0.1491 0.3066 0.3067
0.1719 0.0000 0.0000
0.7828 0.0000 0.3653
0.7828 0.3653 0.0000
0.6535 0.0000 0.0000
0.1481 0.6347 0.0000
0.1480 0.0000 0.6347
```

Properties
- E: -0.34245 Ry/atom
- Space-group type: I4mm (107)